Material: Na3NiAsCO7
Method: DFT, GGA+U
State: relaxed

Results
**M_tot**: 3.99 Bohr magnetons per cell
**Total DFT energy (no corrections)**: -5.823 eV/atom

CIF file:
```
data_Na3NiAsCO7
_chemical_formula_sum 'Na6 Ni2 As2 C2 O14'
_space_group_name_H-M_alt 'P 1 21/m 1'
_space_group_IT_number 11
_cell_length_a 5.258
_cell_length_b 6.847
_cell_length_c 9.069
_cell_angle_alpha 90.00
_cell_angle_beta 91.19
_cell_angle_gamma 90.00
loop_
_space_group_symop_operation_xyz
'x,y,z'
'-x,-y,-z'
'-x,y+1/2,-z'
'x,-y+1/2,z'
loop_
_atom_site_label
_atom_site_type_symbol
_atom_site_fract_x
_atom_site_fract_y
_atom_site_fract_z
Na1 Na 0.231 0.250 0.080
Na2 Na 0.251 0.506 0.738
Ni1 Ni 0.217 0.750 0.341
As1 As 0.293 0.250 0.418
C1 C 0.282 0.750 0.060
O1 O 0.059 0.750 0.121
O2 O 0.148 0.250 0.585
O3 O 0.215 0.053 0.306
O4 O 0.302 0.750 0.918
O5 O 0.381 0.750 0.550
O6 O 0.483 0.750 0.147
```